First-principles (PBE) data for a relaxed RbNa2Au3 crystal, as listed in OQMD.

Computed properties:
Its uncorrected energy is -0.0902 Ha/atom.

The structure in POSCAR format:
```
RbNa2Au3
1.0
5.9468 0.0000 0.0000
-2.9734 5.1501 0.0000
0.0000 0.0000 4.8174
Rb Na Au
1 2 3
Direct
0.0000 0.0000 0.0000
0.3333 0.6667 0.0000
0.6667 0.3333 0.0000
0.0000 0.5000 0.5000
0.5000 0.0000 0.5000
0.5000 0.5000 0.5000
```